DFT (PBEsol) results for RbNaSc2Ga after structural relaxation.

The structure in POSCAR format:
```
RbNaSc2Ga
1.0
5.0574 0.0000 0.0000
0.0000 5.1233 0.0000
0.0000 0.0000 5.1233
Sc Na Ga Rb
2 1 1 1
direct
0.0000 0.0000 0.5000 Sc
0.0000 0.5000 0.0000 Sc
0.5000 0.0000 0.0000 Na
0.5000 0.5000 0.5000 Ga
0.0000 0.0000 0.0000 Rb
```

- SG: P4/mmm (123)
- Formation enthalpy at 0 K: 7.024 eV per formula unit
- Raw total energy: -2.39 eV per atom
- Crystal system: tetragonal
- ρ: 3354 kg/m3